Record 1
GGA-PBE ZnRhBr2, relaxed; uncorrected formation energy = 0.386 eV/atom; energy relative to the lowest polymorph listed for this composition = 13.639 kcal/mol of atoms; E_tot = -2.61 eV per atom
1.0
0.000 3.406 3.406
3.406 0.000 3.406
3.406 3.406 0.000
Zn Rh Br
1 1 2
Cartesian
0.000 0.000 0.000 Zn
3.406 3.406 3.406 Rh
1.703 1.703 1.703 Br
5.109 5.109 5.109 Br

***

Record 2
GGA-PBE Er3GeTe, relaxed; uncorrected formation energy = -0.785 eV/atom; E_tot = -5.07 eV per atom
1.0
7.191 -5.557 0.000
7.191 5.557 0.000
-0.254 0.000 7.291
Er Ge Te
12 4 4
Cartesian
1.360 0.608 0.605 Er
1.233 -0.608 4.251 Er
5.588 2.724 4.116 Er
5.630 1.254 0.514 Er
8.413 2.724 6.821 Er
8.624 1.254 3.132 Er
5.504 -1.254 4.160 Er
5.715 -2.724 0.470 Er
8.497 -1.254 6.777 Er
8.540 -2.724 3.175 Er
12.894 0.608 3.041 Er
12.768 -0.608 6.686 Er
7.127 3.660 1.823 Ge
7.000 0.705 5.469 Ge
7.127 -0.705 1.823 Ge
7.000 -3.660 5.469 Ge
3.587 0.809 2.811 Te
3.460 -0.809 6.457 Te
10.668 0.809 0.834 Te
10.541 -0.809 4.480 Te

***

Record 3
GGA-PBE Ba2MgCr, relaxed; E_tot = -3.33 eV per atom; energy of formation from the pure elements = 1.73 eV/f.u.
1.0
0.000 4.103 4.103
4.103 0.000 4.103
4.103 4.103 0.000
Ba Mg Cr
2 1 1
Cartesian
0.000 0.000 0.000 Ba
2.052 2.052 2.052 Ba
6.155 6.155 6.155 Mg
4.103 4.103 4.103 Cr

***

Record 4
GGA-PBE ErAl6Si, relaxed; uncorrected formation energy = 0.142 eV/atom; E_tot = -3.91 eV per atom
1.0
3.935 2.272 3.159
-3.935 2.272 3.159
0.000 -4.543 3.159
Er Al Si
1 6 1
Cartesian
0.000 0.000 0.000 Er
0.000 -1.629 2.784 Al
-1.411 0.814 2.784 Al
-1.411 -0.814 6.693 Al
1.411 0.814 2.784 Al
1.411 -0.814 6.693 Al
0.000 1.629 6.693 Al
0.000 0.000 4.739 Si

***

Record 5
GGA-PBE KSrErBr6, relaxed; uncorrected formation energy = -1.948 eV/atom; E_tot = -3.88 eV per atom
1.0
7.664 0.000 0.000
-3.832 6.637 0.000
0.000 0.000 14.066
K Sr Er Br
2 2 2 12
Cartesian
0.000 0.000 0.000 K
0.000 0.000 7.033 K
0.000 4.425 3.516 Sr
3.832 2.212 10.549 Sr
0.000 4.425 10.549 Er
3.832 2.212 3.516 Er
-1.246 2.517 8.928 Br
-2.275 4.300 12.170 Br
1.246 2.517 12.170 Br
-1.029 6.457 8.928 Br
2.803 0.180 1.896 Br
1.557 2.337 5.137 Br
2.275 4.300 8.928 Br
1.029 6.457 12.170 Br
4.861 0.180 5.137 Br
2.586 4.120 1.896 Br
6.107 2.337 1.896 Br
5.078 4.120 5.137 Br